Record 1
4
Lattice="-2.9787 1.9878 -3.2079 -0.3189 -4.2047 -2.3095 -2.3369 -0.7570 1.7009" Properties=species:S:1:pos:R:3 comment="SrRu3 (GGA-PBE, relaxed)" delta_e_f_mev_per_atom=919 dft_energy_ev_per_cell=-25.83 crystal_system=tetragonal magnetic_moment_mub_per_atom=0.001 pbc="T T T"
Ru 0.0000 0.0000 0.0000
Ru -2.6578 0.6154 -0.7535
Ru -1.6488 -1.1084 -2.7587
Sr -1.3279 -2.4808 -0.3043

Record 2
26
Lattice="-0.2165 3.6473 -0.1807 -11.3540 -0.5091 3.3284 5.7367 1.3201 19.7711" Properties=species:S:1:pos:R:3 comment="La2Sm6Y5 (GGA-PBE, relaxed)" delta_e_f_mev_per_atom=99 dft_energy_ev_per_cell=-138.41 crystal_system=orthorhombic magnetic_moment_mub_per_atom=0.000 pbc="T T T"
La -2.1262 0.2024 6.6330
La -3.4911 0.6086 16.4666
La -8.1489 -0.1317 7.1056
La 2.5316 0.9427 15.9939
Sm 1.2143 0.4392 7.4095
Sm -6.8316 0.3719 15.6901
Sm -5.7475 -0.1110 4.6458
Sm 0.1302 0.9220 18.4537
Sm -3.0449 1.8244 3.4420
Sm -2.7889 2.6340 19.4769
Sm -7.2823 1.9011 10.0677
Sm 1.4485 2.5573 12.8511
Sm -3.9534 0.2757 10.3018
Sm -1.6639 0.5353 12.7977
Sm -0.2978 0.0651 1.6709
Sm -5.3195 0.7459 21.4287
Y -0.9898 2.2544 9.6597
Y -4.8440 2.2040 13.2591
Y -8.8748 1.4918 3.7143
Y 3.0410 2.9666 19.2045
Y -5.1950 1.8951 7.4465
Y -0.6388 2.5632 15.4723
Y 0.1170 2.0657 4.5243
Y -5.9508 2.3927 18.3945
Y -5.7853 1.5691 1.5739
Y 2.7601 2.4837 9.7952